1.
The following is a DFT calculation (meta-GGA SCAN) of BaSr2Zn at its PBEsol-relaxed geometry.

Lattice parameters (Å, degrees): 3.949 3.949 10.464 90.00 90.00 90.00
Space group P4/mmm (No. 123)
Inequivalent atoms, fractional coordinates:
Ba (0.000, 0.000, 0.000) x1
Sr (0.500, 0.500, 0.324) x2
Zn (0.000, 0.000, 0.500) x1

Electronic total energy = -24.492 eV per atom
ΔH_f (0 K) = -88 meV/atom
Density = 3.85 Mg/m³
D(E_F) = 4.41 states/eV per cell

***

2.
The following is a DFT calculation (meta-GGA SCAN) of MnInAu2 at its PBEsol-relaxed geometry.

Lattice parameters (Å, degrees): 3.0481 3.0481 26.2372 90.00 90.00 120.00
Space group R3m (No. 160, hexagonal axes)
Inequivalent atoms, fractional coordinates:
Mn (0.0000, 0.0000, 0.0000) x3
In (0.0000, 0.0000, 0.7509) x3
Au (0.0000, 0.0000, 0.2582) x3
Au (0.0000, 0.0000, 0.5048) x3

Electronic total energy = -47.567 eV per atom
ΔH_f (0 K) = -78 meV/atom
Density = 13.30 Mg/m³
D(E_F) = 4.76 states/eV per cell

***

3.
The following is a DFT calculation (meta-GGA SCAN) of LiCa3 at its PBEsol-relaxed geometry.

Lattice parameters (Å, degrees): 3.8136 3.8136 11.6426 90.00 90.00 120.00
Space group P-6m2 (No. 187)
Inequivalent atoms, fractional coordinates:
Li (0.0000, 0.0000, 0.0000) x1
Ca (0.0000, 0.0000, 0.5000) x1
Ca (0.6667, 0.3333, 0.2290) x2

Electronic total energy = -7.792 eV per atom
ΔH_f (0 K) = 53 meV/atom
Density = 1.44 Mg/m³
D(E_F) = 3.59 states/eV per cell
Energy relative to the lowest polymorph listed for this composition = 0.033 eV per atom

***

4.
The following is a DFT calculation (meta-GGA SCAN) of MgRePb2 at its PBEsol-relaxed geometry.

Lattice parameters (Å, degrees): 4.608 3.502 10.507 90.00 90.00 90.00
Space group Amm2 (No. 38)
Inequivalent atoms, fractional coordinates:
Mg (0.000, 0.000, 0.000) x2
Re (0.500, 0.000, 0.141) x2
Pb (0.000, 0.000, 0.726) x2
Pb (0.500, 0.000, 0.421) x2

Electronic total energy = -56.302 eV per atom
ΔH_f (0 K) = 606 meV/atom
Density = 12.24 Mg/m³
D(E_F) = 4.06 states/eV per cell